# 1
First-principles (PBE) data for a relaxed structure of YCr4Br, as listed in Alexandria via LeMat-Bulk.

Properties
energy relative to the elements, uncorrected: 0.7178 eV/atom
total DFT energy (no corrections): -7.05 eV/atom

Cell: 7.227 7.227 7.227 Å, 90.00 90.00 90.00°
Space group F-43m (No. 216)
Symmetry-distinct sites (fractional):
Y  0.000  0.000  0.000 [4 per cell]
Cr  0.125  0.125  0.625 [16 per cell]
Br  0.250  0.250  0.250 [4 per cell]

# 2
First-principles (PBE) data for a relaxed structure of YCrBr3, as listed in Alexandria via LeMat-Bulk.

Properties
energy relative to the elements, uncorrected: -0.3703 eV/atom
distance to the lowest polymorph of the same formula: 285 meV per atom
total DFT energy (no corrections): -4.59 eV/atom

Cell: 5.211 5.211 5.211 Å, 90.00 90.00 90.00°
Space group Pm-3m (No. 221)
Symmetry-distinct sites (fractional):
Y  0.000  0.000  0.000 [1 per cell]
Cr  0.500  0.500  0.500 [1 per cell]
Br  0.000  0.500  0.500 [3 per cell]

# 3
First-principles (PBE) data for a relaxed structure of YCrBr4, as listed in Alexandria via LeMat-Bulk.

Properties
energy relative to the elements, uncorrected: 0.3297 eV/atom
total DFT energy (no corrections): -3.47 eV/atom

Cell: 8.847 8.847 8.847 Å, 90.00 90.00 90.00°
Space group F-43m (No. 216)
Symmetry-distinct sites (fractional):
Y  0.000  0.000  0.000 [4 per cell]
Cr  0.250  0.250  0.250 [4 per cell]
Br  0.125  0.125  0.625 [16 per cell]

# 4
First-principles (PBE) data for a relaxed structure of YZn2CrBr, as listed in Alexandria via LeMat-Bulk.

Properties
energy relative to the elements, uncorrected: 0.8590 eV/atom
total DFT energy (no corrections): -3.20 eV/atom

Cell: 5.145 5.145 4.387 Å, 90.00 90.00 90.00°
Space group P4/mmm (No. 123)
Symmetry-distinct sites (fractional):
Y  0.000  0.000  0.000 [1 per cell]
Zn  0.000  0.500  0.500 [2 per cell]
Cr  0.500  0.500  0.000 [1 per cell]
Br  0.500  0.500  0.500 [1 per cell]

# 5
First-principles (PBE) data for a relaxed structure of ZnCrBr4, as listed in Alexandria via LeMat-Bulk.

Properties
energy relative to the elements, uncorrected: -0.6959 eV/atom
distance to the lowest polymorph of the same formula: 0 meV per atom
total DFT energy (no corrections): -3.63 eV/atom

Cell: 6.535 3.875 6.928 Å, 90.00 93.78 90.00°
Space group P2/m (No. 10)
Symmetry-distinct sites (fractional):
Zn  0.000  0.000  0.000 [1 per cell]
Cr  0.500  0.500  0.000 [1 per cell]
Br  0.160  0.500  0.787 [2 per cell]
Br  0.338  0.000  0.215 [2 per cell]

# 6
First-principles (PBE) data for a relaxed structure of Zn2CrBr, as listed in Alexandria via LeMat-Bulk.

Properties
energy relative to the elements, uncorrected: 0.1920 eV/atom
distance to the lowest polymorph of the same formula: 99 meV per atom
total DFT energy (no corrections): -3.27 eV/atom

Cell: 3.4488 3.4488 23.8773 Å, 90.00 90.00 120.00°
Space group R3m (No. 160, hexagonal axes)
Symmetry-distinct sites (fractional):
Zn  0.0000  0.0000  0.0000 [3 per cell]
Zn  0.0000  0.0000  0.2628 [3 per cell]
Cr  0.0000  0.0000  0.5174 [3 per cell]
Br  0.0000  0.0000  0.7789 [3 per cell]

# 7
First-principles (PBE) data for a relaxed structure of ZnCr2Br, as listed in Alexandria via LeMat-Bulk.

Properties
energy relative to the elements, uncorrected: 1.0135 eV/atom
distance to the lowest polymorph of the same formula: 736 meV per atom
total DFT energy (no corrections): -4.53 eV/atom

Cell: 6.048 6.048 6.048 Å, 90.00 90.00 90.00°
Space group Fm-3m (No. 225)
Symmetry-distinct sites (fractional):
Zn  0.000  0.000  0.000 [4 per cell]
Cr  0.250  0.250  0.250 [8 per cell]
Br  0.000  0.000  0.500 [4 per cell]

# 8
First-principles (PBE) data for a relaxed structure of ZnCrBr2, as listed in Alexandria via LeMat-Bulk.

Properties
energy relative to the elements, uncorrected: 0.1700 eV/atom
distance to the lowest polymorph of the same formula: 412 meV per atom
total DFT energy (no corrections): -3.39 eV/atom

Cell: 7.065 7.075 3.584 Å, 90.00 90.00 90.00°
Space group Cmmm (No. 65)
Symmetry-distinct sites (fractional):
Zn  0.000  0.000  0.000 [2 per cell]
Cr  0.000  0.500  0.000 [2 per cell]
Br  0.250  0.250  0.500 [4 per cell]

# 9
First-principles (PBE) data for a relaxed structure of Zn2CrBr, as listed in Alexandria via LeMat-Bulk.

Properties
energy relative to the elements, uncorrected: 0.2009 eV/atom
distance to the lowest polymorph of the same formula: 108 meV per atom
total DFT energy (no corrections): -3.26 eV/atom

Cell: 3.073 4.299 12.693 Å, 90.00 90.00 90.00°
Space group Imm2 (No. 44)
Symmetry-distinct sites (fractional):
Zn  0.000  0.000  0.000 [2 per cell]
Zn  0.000  0.500  0.120 [2 per cell]
Cr  0.000  0.000  0.454 [2 per cell]
Br  0.000  0.500  0.793 [2 per cell]

# 10
First-principles (PBE) data for a relaxed structure of Zn2CrBr, as listed in Alexandria via LeMat-Bulk.

Properties
energy relative to the elements, uncorrected: 0.3116 eV/atom
distance to the lowest polymorph of the same formula: 219 meV per atom
total DFT energy (no corrections): -3.15 eV/atom

Cell: 7.895 7.895 5.366 Å, 90.00 90.00 90.00°
Space group I-42d (No. 122)
Symmetry-distinct sites (fractional):
Zn  0.233  0.250  0.125 [8 per cell]
Cr  0.000  0.000  0.000 [4 per cell]
Br  0.000  0.000  0.500 [4 per cell]

# 11
First-principles (PBE) data for a relaxed structure of ZnCrBr2, as listed in Alexandria via LeMat-Bulk.

Properties
energy relative to the elements, uncorrected: -0.1877 eV/atom
distance to the lowest polymorph of the same formula: 54 meV per atom
total DFT energy (no corrections): -3.75 eV/atom

Cell: 3.993 3.575 7.781 Å, 90.00 101.74 90.00°
Space group Pm (No. 6)
Symmetry-distinct sites (fractional):
Zn  0.000  0.000  0.000 [1 per cell]
Cr  0.592  0.500  0.132 [1 per cell]
Br  0.301  0.500  0.808 [1 per cell]
Br  0.618  0.000  0.367 [1 per cell]

# 12
First-principles (PBE) data for a relaxed structure of Zn2CrBr, as listed in Alexandria via LeMat-Bulk.

Properties
energy relative to the elements, uncorrected: 0.4016 eV/atom
distance to the lowest polymorph of the same formula: 309 meV per atom
total DFT energy (no corrections): -3.06 eV/atom

Cell: 4.105 4.105 8.898 Å, 90.00 90.00 90.00°
Space group I-4m2 (No. 119)
Symmetry-distinct sites (fractional):
Zn  0.000  0.000  0.000 [2 per cell]
Zn  0.000  0.500  0.250 [2 per cell]
Cr  0.000  0.000  0.500 [2 per cell]
Br  0.000  0.500  0.750 [2 per cell]

# 13
First-principles (PBE) data for a relaxed structure of Zn2CrBr, as listed in Alexandria via LeMat-Bulk.

Properties
energy relative to the elements, uncorrected: 0.2868 eV/atom
distance to the lowest polymorph of the same formula: 194 meV per atom
total DFT energy (no corrections): -3.17 eV/atom

Cell: 5.258 8.633 3.405 Å, 90.00 90.00 90.00°
Space group Cmmm (No. 65)
Symmetry-distinct sites (fractional):
Zn  0.250  0.250  0.000 [4 per cell]
Cr  0.000  0.000  0.500 [2 per cell]
Br  0.000  0.500  0.500 [2 per cell]

# 14
First-principles (PBE) data for a relaxed structure of Zn2Cr2Br, as listed in Alexandria via LeMat-Bulk.

Properties
energy relative to the elements, uncorrected: 0.4555 eV/atom
distance to the lowest polymorph of the same formula: 0 meV per atom
total DFT energy (no corrections): -4.24 eV/atom

Cell: 3.286 3.286 16.084 Å, 90.00 90.00 90.00°
Space group I4/mmm (No. 139)
Symmetry-distinct sites (fractional):
Zn  0.000  0.000  0.121 [4 per cell]
Cr  0.000  0.500  0.250 [4 per cell]
Br  0.000  0.000  0.500 [2 per cell]